(1)
The following is a DFT calculation (PBE) of a geometry-optimized Cs2WICl structure.

Cell: 7.3780 5.6784 7.3780 Å, 90.00 90.00 90.00°
Closest atoms and distances in Å follow each position.
Positions (direct):
Cs 0.0000 0.0000 0.5000  2 I 3.69
Cs 0.5000 0.0000 0.0000  2 I 3.69
I 0.0000 0.0000 0.0000  2 Cl 2.84
W 0.5000 0.5000 0.5000  8 Cs 4.66
Cl 0.0000 0.5000 0.0000  2 I 2.84

## Properties
Space-group type: No. 123
N(E_F) (states/eV/cell): 1.03
Energy relative to the elements, uncorrected (eV/atom): 0.70

***

(2)
The following is a DFT calculation (PBE) of a geometry-optimized BAu3S structure.

Cell: 4.4154 4.4154 4.4154 Å, 90.00 90.00 90.00°
Closest atoms and distances in Å follow each position.
Positions (direct):
S 0.5000 0.5000 0.5000  12 Au 3.12
B 0.0000 0.0000 0.0000  6 Au 2.21
Au 0.0000 0.5000 0.0000  2 B 2.21
Au 0.0000 0.0000 0.5000  2 B 2.21
Au 0.5000 0.0000 0.0000  2 B 2.21

## Properties
Space-group type: No. 221
N(E_F) (states/eV/cell): 5.10
Energy relative to the elements, uncorrected (eV/atom): 0.67
ΔE to the lowest computed polymorph (meV per atom): 0.0

***

(3)
The following is a DFT calculation (PBE) of a geometry-optimized V2CdHRh structure.

Cell: 3.9327 3.9327 4.0300 Å, 90.00 90.00 90.00°
Closest atoms and distances in Å follow each position.
Positions (direct):
H 0.0000 0.0000 0.0000  4 V 1.97, 2 Rh 2.02
V 0.0000 0.5000 0.0000  2 H 1.97
V 0.5000 0.0000 0.0000  2 H 1.97
Rh 0.0000 0.0000 0.5000  2 H 2.02
Cd 0.5000 0.5000 0.5000  4 Rh 2.78, 8 V 2.82

## Properties
Space-group type: No. 123
N(E_F) (states/eV/cell): 4.77

***

(4)
The following is a DFT calculation (PBE) of a geometry-optimized GdFeGe2 structure.

Cell: 4.0677 4.0677 5.5845 Å, 68.64 68.64 60.00°
Closest atoms and distances in Å follow each position.
Positions (direct):
Ge 0.7840 0.7840 0.6480  3 Fe 2.47
Ge 0.2160 0.2160 0.3520  3 Fe 2.47
Gd 0.0000 0.0000 0.0000  8 Ge 2.95-3.28
Fe 0.5000 0.5000 0.5000  6 Ge 2.47

## Properties
Space-group type: No. 166
N(E_F) (states/eV/cell): 3.29
Formation energy from the elements (eV/atom): -0.467

***

(5)
The following is a DFT calculation (PBE) of a geometry-optimized CePaPb2O8 structure.

Cell: 6.3226 6.3226 6.3226 Å, 110.52 110.52 107.40°
Closest atoms and distances in Å follow each position.
Positions (direct):
Ce 0.2500 0.7500 0.5000  8 O 2.28-2.54
Pa 0.0000 0.0000 0.0000  4 O 2.20
Pb 0.7500 0.2500 0.5000  4 O 2.17
Pb 0.5000 0.5000 0.0000  4 O 2.12
O 0.3341 0.0309 0.3032  1 Pb 2.17, 1 Pa 2.20
O 0.2797 0.4649 0.1853  1 Pb 2.12, 1 Ce 2.28
O 0.2797 0.0944 0.8147  1 Pb 2.12, 1 Ce 2.28
O 0.7277 0.0309 0.6968  1 Pb 2.17, 1 Pa 2.20
O 0.9056 0.7203 0.1853  1 Pb 2.12, 1 Ce 2.28
O 0.9691 0.2723 0.3032  1 Pb 2.17, 1 Pa 2.20
O 0.9691 0.6659 0.6968  1 Pb 2.17, 1 Pa 2.20
O 0.5351 0.7203 0.8147  1 Pb 2.12, 1 Ce 2.28

## Properties
Space-group type: No. 119
N(E_F) (states/eV/cell): 3.63
Energy relative to the elements, uncorrected (eV/atom): -2.14

***

(6)
The following is a DFT calculation (PBE) of a geometry-optimized Ti3TePb4O13 structure.

Cell: 7.4225 7.4225 7.4225 Å, 59.60 59.60 59.60°
Closest atoms and distances in Å follow each position.
Positions (direct):
Ti 0.9982 0.5005 0.5005  6 O 1.96-2.05
Ti 0.5005 0.5005 0.9982  6 O 1.96-2.05
Ti 0.5005 0.9982 0.5005  6 O 1.96-2.05
Te 0.5003 0.5003 0.5003  6 O 1.94-1.95
Pb 0.4923 0.0030 0.0030  1 O 2.30
Pb 0.0030 0.0030 0.4923  1 O 2.30
Pb 0.0030 0.4923 0.0030  1 O 2.30
Pb 0.0012 0.0012 0.0012  1 O 2.33
O 0.1810 0.5661 0.1810  2 Ti 1.99
O 0.5701 0.1861 0.5701  1 Te 1.95, 1 Ti 2.05
O 0.1810 0.1810 0.5661  2 Ti 1.99
O 0.5701 0.5701 0.1861  1 Te 1.95, 1 Ti 2.05
O 0.5661 0.1810 0.1810  2 Ti 1.99
O 0.1861 0.5701 0.5701  1 Te 1.95, 1 Ti 2.05
O 0.8151 0.4391 0.8151  2 Ti 1.96
O 0.4332 0.8122 0.4332  1 Te 1.94, 1 Ti 2.01
O 0.8151 0.8151 0.4391  2 Ti 1.96
O 0.4332 0.4332 0.8122  1 Te 1.94, 1 Ti 2.01
O 0.4391 0.8151 0.8151  2 Ti 1.96
O 0.8122 0.4332 0.4332  1 Te 1.94, 1 Ti 2.01
O 0.8736 0.8736 0.8736  4 Pb 2.30-2.33

## Properties
Space-group type: No. 160
Energy relative to the elements, uncorrected (eV/atom): -1.96

***

Number 1: M_tot 4.93 μB per cell, energy -14.6 eV per formula unit. Number 2: M_tot 0.00 μB per cell, energy -17.3 eV per formula unit. Number 3: M_tot 0.00 μB per cell, energy -29.7 eV per formula unit. Number 4: M_tot 8.00 μB per cell, energy -33.6 eV per formula unit. Number 5: M_tot 0.00 μB per cell, energy -88.2 eV per formula unit. Number 6: M_tot 0.00 μB per cell, energy -147.4 eV per formula unit.